Arrangement P

DFT (GGA+U) results for crystalline Ce2WO6 at its relaxed geometry.

Calculated volume = 13.70 Å³/atom
Space group = C2/c
Total moment = 2.04 μB/f.u.

Geometry as extended XYZ:
```
36
Lattice="8.209 -5.635 0.000 8.209 5.635 0.000 -1.467 0.000 5.331" Properties=species:S:1:pos:R:3 pbc="T T T"
Ce 7.109 4.303 3.998
Ce 4.455 1.286 3.245
Ce 7.842 1.358 1.333
Ce 5.189 -1.286 0.580
Ce 9.762 1.286 4.751
Ce 7.109 -1.358 3.998
Ce 10.495 -1.286 2.085
Ce 7.842 -4.303 1.333
W 1.299 1.793 4.902
W 2.032 -1.793 2.236
W 12.918 1.793 3.094
W 13.652 -1.793 0.429
O 3.731 2.425 1.196
O -0.105 0.490 5.214
O 0.628 -0.490 2.549
O 6.105 3.158 2.112
O 5.469 2.586 4.892
O 2.725 0.492 4.554
O 3.459 -0.492 1.889
O 9.579 3.158 0.553
O 8.748 2.586 3.104
O 6.146 0.184 2.251
O 5.413 -0.184 4.917
O 2.997 -2.425 3.861
O 11.953 2.425 1.470
O 9.538 0.184 0.414
O 8.805 -0.184 3.079
O 6.203 -2.586 2.227
O 5.371 -3.158 4.777
O 11.492 0.492 3.442
O 12.225 -0.492 0.776
O 9.482 -2.586 0.439
O 8.846 -3.158 3.218
O 14.323 0.490 2.782
O 15.056 -0.490 0.117
O 11.220 -2.425 4.135
```

Arrangement Q

DFT (GGA+U) results for crystalline Ce2WO6 at its relaxed geometry.

Calculated volume = 14.78 Å³/atom
Space group = P4_2/mnm
Total moment = 2.00 μB/f.u.

Geometry as extended XYZ:
```
18
Lattice="5.047 0.000 0.000 0.000 5.047 0.000 0.000 0.000 10.446" Properties=species:S:1:pos:R:3 pbc="T T T"
Ce 0.000 0.000 1.757
Ce 0.000 0.000 8.689
Ce 2.523 2.523 3.466
Ce 2.523 2.523 6.980
W 0.000 0.000 5.223
W 2.523 2.523 0.000
O 0.949 0.949 3.605
O 0.949 0.949 6.841
O 1.062 1.062 0.000
O 1.461 3.586 5.223
O 1.575 3.472 1.618
O 1.575 3.472 8.828
O 3.472 1.575 1.618
O 3.472 1.575 8.828
O 3.586 1.461 5.223
O 3.985 3.985 0.000
O 4.098 4.098 3.605
O 4.098 4.098 6.841
```

Of all the structures shown, which is most stable? arrangement P, and arrangement Q is the least stable.